La2As3Au2 | PBE | relaxed

Cell lengths 4.430, 8.280, 9.926 Å; angles 82.74, 77.11, 74.48 degrees
Fractional positions:
La: 0.402 0.266 0.929
La: 0.741 0.862 0.656
As: 0.088 0.939 0.885
As: 0.837 0.507 0.819
La: 0.598 0.734 0.071
As: 0.912 0.061 0.115
Au: 0.386 0.557 0.671
Au: 0.939 0.811 0.311
Au: 0.061 0.189 0.689
Au: 0.614 0.443 0.329
As: 0.163 0.493 0.181
As: 0.385 0.773 0.457
As: 0.615 0.227 0.543
La: 0.259 0.138 0.344

- Calculated formation energy: -0.92 eV per atom
- SG: C2/m
- Volume: 341.12 Å³ per cell